Computed, not measured: a relaxed structure of Tl5Cd3 at the PBE-GGA level of DFT.

Properties
* energy above the most stable polymorph in this dataset: 0.000 eV/f.u.
* SG: No. 69

Unit cell a=9.427 b=9.427 c=8.976 alpha=96.28 beta=96.28 gamma=142.35
Atoms (fractional coordinates):
Tl 0.423 0.723 0.147
Tl 0.726 0.575 0.301
Tl 0.576 0.276 0.853
Tl 0.074 0.226 0.301
Tl 0.223 0.924 0.147
Tl 0.274 0.425 0.699
Tl 0.748 0.249 0.500
Tl 0.776 0.076 0.853
Tl 0.925 0.774 0.699
Tl 0.251 0.751 0.500
Cd 0.670 0.830 0.500
Cd 0.750 0.750 0.000
Cd 0.830 0.331 0.162
Cd 0.168 0.669 0.838
Cd 0.250 0.250 0.000
Cd 0.329 0.171 0.500

***

Computed, not measured: a relaxed structure of TlCd at the PBE-GGA level of DFT.

Properties
* calculated total energy: -1.601 eV per atom
* SG: No. 1

Unit cell a=4.858 b=4.877 c=9.906 alpha=105.06 beta=104.89 gamma=91.89
Atoms (fractional coordinates):
Tl 0.774 0.978 0.204
Tl 0.270 0.472 0.195
Tl 0.640 0.347 0.930
Tl 0.014 0.222 0.678
Cd 0.513 0.720 0.674
Cd 0.897 0.603 0.447
Cd 0.135 0.845 0.924
Cd 0.398 0.108 0.449

***

Computed, not measured: a relaxed structure of TlCd8 at the PBE-GGA level of DFT.

Properties
* energy above the most stable polymorph in this dataset: 0.000 eV/f.u.
* SG: No. 139

Unit cell a=7.204 b=7.204 c=7.204 alpha=95.72 beta=95.72 gamma=143.19
Atoms (fractional coordinates):
Cd 0.673 0.673 0.345
Cd 0.673 0.327 0.000
Cd 0.327 0.673 0.000
Cd 0.662 0.000 0.662
Cd 0.327 0.327 0.655
Cd 0.338 0.000 0.338
Cd 0.000 0.662 0.662
Cd 0.000 0.338 0.338
Tl 0.000 0.000 0.000

***

Computed, not measured: a relaxed structure of Tl8Cd3 at the PBE-GGA level of DFT.

Properties
* calculated total energy: -1.942 eV per atom
* SG: No. 12

Unit cell a=3.513 b=6.616 c=14.795 alpha=104.60 beta=90.00 gamma=105.39
Atoms (fractional coordinates):
Tl 0.372 0.744 0.529
Tl 0.283 0.567 0.909
Tl 0.717 0.433 0.091
Tl 0.195 0.391 0.288
Tl 0.805 0.609 0.712
Tl 0.628 0.256 0.471
Tl 0.541 0.082 0.824
Tl 0.459 0.918 0.176
Cd 0.079 0.158 0.649
Cd 0.000 0.000 0.000
Cd 0.921 0.842 0.351

***

Computed, not measured: a relaxed structure of TlCd4 at the PBE-GGA level of DFT.

Properties
* energy above the most stable polymorph in this dataset: 0.329 eV/f.u.
* SG: No. 217

Unit cell a=8.830 b=8.830 c=8.830 alpha=109.47 beta=109.47 gamma=109.47
Atoms (fractional coordinates):
Cd 0.000 0.221 0.000
Cd 0.750 0.250 0.500
Cd 0.221 0.000 0.000
Cd 0.651 0.000 0.651
Cd 0.500 0.750 0.250
Cd 0.779 0.779 0.779
Cd 0.250 0.750 0.500
Cd 0.500 0.250 0.750
Cd 0.250 0.500 0.750
Cd 0.750 0.500 0.250
Cd 0.349 0.000 0.349
Cd 0.000 0.349 0.349
Cd 0.349 0.349 0.000
Cd 0.000 0.000 0.221
Cd 0.651 0.651 0.000
Cd 0.000 0.651 0.651
Tl 0.425 0.425 0.425
Tl 0.000 0.000 0.575
Tl 0.575 0.000 0.000
Tl 0.000 0.575 0.000

***

Computed, not measured: a relaxed structure of TlCd at the PBE-GGA level of DFT.

Properties
* calculated total energy: -1.425 eV per atom
* SG: No. 194

Unit cell a=5.213 b=5.213 c=6.131 alpha=90.00 beta=90.00 gamma=120.00
Atoms (fractional coordinates):
Cd 0.667 0.333 0.750
Cd 0.333 0.667 0.250
Tl 0.667 0.333 0.250
Tl 0.333 0.667 0.750

***

Computed, not measured: a relaxed structure of TlCd at the PBE-GGA level of DFT.

Properties
* calculated total energy: -1.581 eV per atom
* SG: No. 51

Unit cell a=3.647 b=5.138 c=5.914 alpha=90.00 beta=90.00 gamma=90.00
Atoms (fractional coordinates):
Cd 0.000 0.000 0.987
Cd 0.000 0.500 0.346
Tl 0.500 0.500 0.863
Tl 0.500 0.000 0.470

***

Computed, not measured: a relaxed structure of Tl5Cd7 at the PBE-GGA level of DFT.

Properties
* calculated total energy: -1.473 eV per atom
* SG: No. 25

Unit cell a=3.239 b=9.856 c=10.014 alpha=90.00 beta=90.00 gamma=90.00
Atoms (fractional coordinates):
Cd 0.000 0.510 0.835
Cd 0.500 0.749 0.677
Cd 0.500 0.732 0.000
Cd 0.500 0.749 0.323
Cd 0.000 0.510 0.165
Cd 0.500 0.279 0.000
Cd 0.000 0.967 0.500
Tl 0.000 0.519 0.500
Tl 0.000 0.993 0.837
Tl 0.000 0.993 0.163
Tl 0.500 0.250 0.332
Tl 0.500 0.250 0.668